# 1
## PmSm2HoEr4 (PBE)

Data for a relaxed structure of PmSm2HoEr4.

extended XYZ file:
```
16
Lattice="-2.214 -3.963 -8.328 -8.063 -3.515 3.550 4.873 10.512 2.002" Properties=species:S:1:pos:R:3 pbc="T T T"
Sm 2.436 5.256 1.001
Sm 1.329 3.274 -3.163
Sm -1.107 -1.982 -4.164
Sm -5.138 -3.739 -2.389
Er -2.845 4.874 -1.584
Er -0.142 3.357 -0.198
Er -4.150 1.629 1.550
Er 1.212 6.658 -3.386
Er -1.254 1.405 -4.326
Er -6.616 -3.625 0.610
Er -2.559 -1.840 -1.192
Er -5.262 -0.323 -2.578
Pm -4.031 -1.757 1.775
Pm -3.809 -0.465 -5.552
Ho -2.702 1.517 -1.388
Ho 2.658 6.548 -6.325
```

Summary:
Volume = 264.42 Å³/f.u.

---

# 2
## PmSmHo4Er2 (PBE)

Data for a relaxed structure of PmSmHo4Er2.

extended XYZ file:
```
16
Lattice="9.311 -0.047 -1.757 -0.054 9.311 -1.757 -5.869 -5.873 8.305" Properties=species:S:1:pos:R:3 pbc="T T T"
Er -2.935 -2.937 4.152
Er 4.629 4.632 -1.757
Er 1.721 -2.960 3.274
Er 4.655 -0.024 -0.879
Ho 1.067 -3.558 6.539
Ho -0.671 4.068 2.404
Ho 4.007 4.056 1.501
Ho 2.321 6.948 -1.749
Ho 4.058 -0.677 2.387
Ho -0.620 -0.666 3.290
Ho 6.898 6.948 -2.620
Ho -3.510 -3.558 7.411
Pm -0.027 4.655 -0.879
Pm 6.349 1.671 1.517
Sm 1.694 1.695 2.395
Sm 3.441 -5.921 6.548
```

Summary:
Volume = 263.39 Å³/f.u.

---

# 3
## Pm5SmHoEr2 (PBE)

Data for a relaxed structure of Pm5SmHoEr2.

extended XYZ file:
```
18
Lattice="5.637 0.000 0.000 -2.818 10.144 0.000 0.000 0.000 10.691" Properties=species:S:1:pos:R:3 pbc="T T T"
Er 2.818 7.899 2.548
Er 0.000 2.245 7.894
Er 2.818 7.803 8.719
Er 0.000 2.341 3.373
Pm 0.000 5.700 3.307
Pm 2.818 4.444 8.653
Pm 2.818 4.104 2.194
Pm 0.000 9.743 7.931
Pm 2.818 9.810 5.575
Pm 2.818 2.230 5.604
Pm 0.000 7.914 0.258
Pm 0.000 0.334 0.229
Pm 2.818 0.402 2.586
Pm 0.000 6.040 7.539
Sm 2.818 6.079 5.454
Sm 0.000 4.065 0.109
Ho 2.818 1.815 10.242
Ho 0.000 8.329 4.896
```

Summary:
Volume = 305.66 Å³/f.u.

---

Calculated formation enthalpy at 0 K in order - 3.4, 3.5, 1.3 eV/f.u.